Entry 1:
A plane-wave DFT calculation with PBE was carried out for a relaxed structure of CaTbP2Rh5. Values from VASP.

Summary:
- Space group: P4/mmm
- E_tot: -60.10 eV per cell

```
&SYSTEM
  ibrav = 0, nat = 9, ntyp = 4
/
ATOMIC_SPECIES
Ca 40.08 Ca.upf
Tb 158.93 Tb.upf
P 30.97 P.upf
Rh 102.91 Rh.upf
CELL_PARAMETERS angstrom
4.020 0.000 0.000
0.000 4.020 0.000
0.000 0.000 10.874
ATOMIC_POSITIONS crystal
Ca 0.000 0.000 0.000
Tb 0.000 0.000 0.500
P 0.500 0.500 0.207
P 0.500 0.500 0.793
Rh 0.000 0.500 0.304
Rh 0.000 0.500 0.696
Rh 0.500 0.000 0.304
Rh 0.500 0.000 0.696
Rh 0.500 0.500 0.000
```


Entry 2:
A plane-wave DFT calculation with PBE was carried out for a relaxed structure of Mn2InPb. Values from VASP.

Summary:
- Space group: P2/m
- E_tot: -23.19 eV per cell

```
&SYSTEM
  ibrav = 0, nat = 4, ntyp = 3
/
ATOMIC_SPECIES
Mn 54.94 Mn.upf
In 114.82 In.upf
Pb 207.20 Pb.upf
CELL_PARAMETERS angstrom
3.121 0.000 0.000
0.000 4.010 0.000
-0.069 0.000 6.349
ATOMIC_POSITIONS crystal
Mn 0.000 0.000 0.226
Mn 0.000 0.000 0.774
In 0.500 0.500 0.000
Pb 0.500 0.500 0.500
```


Entry 3:
A plane-wave DFT calculation with PBE was carried out for a relaxed structure of SbMoBr2. Values from VASP.

Summary:
- Space group: Pmmm
- E_tot: -16.00 eV per cell

```
&SYSTEM
  ibrav = 0, nat = 4, ntyp = 3
/
ATOMIC_SPECIES
Sb 121.76 Sb.upf
Mo 95.94 Mo.upf
Br 79.90 Br.upf
CELL_PARAMETERS angstrom
3.332 0.000 0.000
0.000 4.852 0.000
0.000 0.000 5.891
ATOMIC_POSITIONS crystal
Sb 0.000 0.000 0.000
Mo 0.500 0.000 0.500
Br 0.000 0.500 0.500
Br 0.500 0.500 0.000
```